# ScNi

An optimized crystal structure of ScNi (PBE, the Open Quantum Materials Database).

Unit cell a=4.362 b=4.362 c=5.118 alpha=90.00 beta=90.00 gamma=120.00
Fractional coordinates of all 4 atoms:
Ni (0.333, 0.667, 0.438)
Ni (0.000, 0.000, 0.938)
Sc (0.000, 0.000, 0.437)
Sc (0.333, 0.667, 0.937)

Size of the total moment (μB per formula unit): 0.00
Formation enthalpy at 0 K (eV per atom): 0.125
Symmetry: P6_3/mmc, No. 194